Record 1
LaMg2Cl | meta-GGA SCAN | single point on PBEsol structure

Values from the calculation:
total DFT energy (no corrections)	-63.0	eV for the cell shown
SG	No. 44
E_form (uncorrected)	-0.4959	eV/atom
relative energy among the computed polymorphs	0.506	eV/f.u.

a = 3.4804 Å, b = 5.8104 Å, c = 6.3637 Å
α = 117.16°, β = 105.87°, γ = 90.00°
Fractional positions:
La 0.2138 0.7138 0.4277
Mg 0.7854 0.2854 0.5708
Mg 0.9995 0.9995 0.9990
Cl 0.5013 0.5013 0.0026

---

Record 2
La2MgCl | meta-GGA SCAN | single point on PBEsol structure

Values from the calculation:
total DFT energy (no corrections)	-99.7	eV for the cell shown
SG	No. 216
E_form (uncorrected)	-0.1319	eV/atom
relative energy among the computed polymorphs	2.771	eV/f.u.

a = 5.3434 Å, b = 5.3434 Å, c = 5.3434 Å
α = 60.00°, β = 60.00°, γ = 60.00°
Last column: magnetic moment on the atom in μB.
Fractional positions:
La 0.0000 0.0000 0.0000  0.40
La 0.7500 0.7500 0.7500  0.23
Mg 0.2500 0.2500 0.2500  0.01
Cl 0.5000 0.5000 0.5000  0.03

---

Record 3
LaMn2Cl | meta-GGA SCAN | single point on PBEsol structure

Values from the calculation:
total DFT energy (no corrections)	-88.2	eV for the cell shown
SG	No. 216
E_form (uncorrected)	-0.1443	eV/atom
relative energy among the computed polymorphs	1.478	eV/f.u.

a = 4.8337 Å, b = 4.8357 Å, c = 4.8337 Å
α = 60.01°, β = 90.00°, γ = 119.99°
Last column: magnetic moment on the atom in μB.
Fractional positions:
Mn 0.2500 0.5000 0.2500  -4.27
Mn 0.0000 0.0000 0.0000  4.09
La 0.7500 0.5000 0.7500  0.14
Cl 0.5000 0.0000 0.5000  -0.01

---

Record 4
LaMn2Cl | meta-GGA SCAN | single point on PBEsol structure

Values from the calculation:
total DFT energy (no corrections)	-89.5	eV for the cell shown
SG	No. 99
E_form (uncorrected)	-0.4832	eV/atom
relative energy among the computed polymorphs	0.123	eV/f.u.

a = 3.2362 Å, b = 3.2362 Å, c = 8.3677 Å
α = 90.00°, β = 90.00°, γ = 90.00°
Last column: magnetic moment on the atom in μB.
Fractional positions:
Mn 0.5000 0.5000 0.1477  3.83
Mn 0.0000 0.0000 0.0422  -3.53
La 0.5000 0.5000 0.7626  0.29
Cl 0.0000 0.0000 0.5475  0.01